! Zn2In3Ga7 (GGA-PBE, relaxed); values from VASP
! Total energy in eV/cell: -31.1
! Space group: P2/m, No. 10
&SYSTEM
  ibrav = 0, nat = 12, ntyp = 3
/
ATOMIC_SPECIES
Zn 65.41 Zn.upf
In 114.82 In.upf
Ga 69.72 Ga.upf
ATOMIC_POSITIONS crystal
Zn 0.215 0.000 0.282
Zn 0.785 0.000 0.718
In 0.000 0.000 0.000
In 0.278 0.500 0.636
In 0.722 0.500 0.364
Ga 0.191 0.500 0.158
Ga 0.234 0.000 0.451
Ga 0.318 0.000 0.831
Ga 0.500 0.500 0.000
Ga 0.682 0.000 0.169
Ga 0.766 0.000 0.549
Ga 0.809 0.500 0.842
CELL_PARAMETERS angstrom
4.242 0.000 0.000
0.000 3.930 0.000
-1.496 0.000 15.237